First-principles (GGA-PBE) data for a relaxed structure of SrHOs2, as listed in Alexandria.

- Magnetization: 0.0 μB/f.u.

Cell lengths 5.682, 5.682, 5.682 Å; angles 60.00, 60.00, 90.00 degrees
Fractional coordinates of all 8 atoms:
Os 0.375 0.125 0.250
Os 0.375 0.625 0.750
Sr 0.750 0.250 0.500
Sr 0.000 0.000 0.000
Os 0.375 0.625 0.250
H 0.500 0.500 0.000
H 0.250 0.750 0.500
Os 0.875 0.625 0.750

First-principles (GGA-PBE) data for a relaxed structure of BeAgW2, as listed in Alexandria.

- Magnetization: 0.0 μB/f.u.
- Energy of formation from the pure elements: 0.695 eV/atom

Cell lengths 4.418, 4.418, 4.418 Å; angles 60.00, 60.00, 60.00 degrees
Fractional coordinates of all 4 atoms:
Ag 0.500 0.500 0.500
W 0.250 0.250 0.250
W 0.000 0.000 0.000
Be 0.750 0.750 0.750

First-principles (GGA-PBE) data for a relaxed structure of Pr3Ti2O7, as listed in Alexandria.

- ΔE_f (raw): -2.996 eV per atom
- Magnetization: 0.0 μB/f.u.

Cell lengths 3.937, 3.937, 10.566 Å; angles 100.74, 100.74, 90.00 degrees
Fractional coordinates of all 12 atoms:
O 0.203 0.203 0.406
O 0.599 0.099 0.198
O 0.401 0.901 0.802
O 0.000 0.000 0.000
Ti 0.097 0.097 0.194
O 0.099 0.599 0.198
Pr 0.317 0.317 0.634
Pr 0.683 0.683 0.366
O 0.901 0.401 0.802
O 0.797 0.797 0.594
Pr 0.500 0.500 0.000
Ti 0.903 0.903 0.806

First-principles (GGA-PBE) data for a relaxed structure of Nd3Dy2Er5, as listed in Alexandria.

- Magnetization: 0.0 μB/f.u.
- Energy of formation from the pure elements: 0.192 eV/atom

Cell lengths 9.388, 9.370, 11.121 Å; angles 124.86, 124.90, 69.13 degrees
Fractional coordinates of all 20 atoms:
Er 0.272 0.522 0.044
Nd 0.978 0.223 0.748
Er 0.027 0.777 0.553
Er 0.853 0.604 0.723
Er 0.973 0.223 0.447
Dy 0.467 0.721 0.734
Er 0.630 0.881 0.277
Dy 0.533 0.279 0.266
Er 0.529 0.279 0.558
Nd 0.269 0.524 0.748
Er 0.370 0.119 0.723
Nd 0.766 0.016 0.031
Dy 0.232 0.986 0.266
Er 0.147 0.396 0.277
Nd 0.022 0.777 0.252
Nd 0.731 0.476 0.252
Er 0.728 0.478 0.956
Dy 0.768 0.014 0.734
Nd 0.234 0.984 0.969
Er 0.471 0.721 0.442

First-principles (GGA-PBE) data for a relaxed structure of HfIrRh3, as listed in Alexandria.

- Magnetization: 1.8 μB/f.u.
- Energy of formation from the pure elements: 1.320 eV/atom

Cell lengths 4.666, 4.666, 4.666 Å; angles 90.00, 90.00, 90.00 degrees
Site moments in Bohr magnetons follow the coordinates.
Fractional coordinates of all 5 atoms:
Ir 0.500 0.500 0.500  1.07
Rh 0.000 0.500 0.000  0.26
Rh 0.000 0.000 0.500  0.12
Rh 0.500 0.000 0.000  0.46
Hf 0.000 0.000 0.000  -0.05

First-principles (GGA-PBE) data for a relaxed structure of FeRu2Au, as listed in Alexandria.

- Magnetization: 2.1 μB/f.u.
- Energy of formation from the pure elements: 0.345 eV/atom

Cell lengths 4.742, 4.742, 4.742 Å; angles 132.08, 132.08, 70.11 degrees
Site moments in Bohr magnetons follow the coordinates.
Fractional coordinates of all 4 atoms:
Ru 0.000 0.000 0.000  -0.17
Fe 0.750 0.250 0.500  2.53
Ru 0.500 0.500 0.000  -0.17
Au 0.250 0.750 0.500  -0.01

First-principles (GGA-PBE) data for a relaxed structure of Co21Re2B6, as listed in Alexandria.

- Magnetization: 18.1 μB/f.u.
- Energy of formation from the pure elements: -0.191 eV/atom

Cell lengths 7.378, 7.378, 7.378 Å; angles 60.00, 60.00, 60.00 degrees
Site moments in Bohr magnetons follow the coordinates.
Fractional coordinates of all 29 atoms:
B 0.725 0.725 0.275  -0.05
Co 0.618 0.618 0.145  0.27
Re 0.750 0.750 0.750  -0.02
Co 0.618 0.145 0.618  0.27
Co 0.855 0.382 0.382  0.27
Co 0.661 0.339 0.000  1.23
Co 0.382 0.382 0.855  0.27
B 0.275 0.725 0.275  -0.05
Co 0.382 0.382 0.382  0.27
Co 0.661 0.000 0.000  1.23
Co 0.382 0.855 0.382  0.27
Co 0.145 0.618 0.618  0.27
Co 0.000 0.661 0.339  1.23
Re 0.250 0.250 0.250  -0.02
Co 0.339 0.000 0.000  1.23
Co 0.000 0.339 0.661  1.23
Co 0.000 0.000 0.339  1.23
Co 0.339 0.661 0.000  1.23
Co 0.339 0.000 0.661  1.23
Co 0.618 0.618 0.618  0.27
B 0.725 0.275 0.275  -0.05
Co 0.000 0.661 0.000  1.23
Co 0.000 0.000 0.000  1.71
B 0.275 0.275 0.725  -0.05
B 0.275 0.725 0.725  -0.05
Co 0.661 0.000 0.339  1.23
Co 0.000 0.339 0.000  1.23
Co 0.000 0.000 0.661  1.23
B 0.725 0.275 0.725  -0.05

First-principles (GGA-PBE) data for a relaxed structure of SmDy7Tm12, as listed in Alexandria.

- Magnetization: 0.0 μB/f.u.
- Energy of formation from the pure elements: 0.313 eV/atom

Cell lengths 8.589, 8.589, 8.589 Å; angles 95.23, 95.23, 95.23 degrees
Fractional coordinates of all 20 atoms:
Tm 0.147 0.416 0.480
Dy 0.019 0.083 0.353
Tm 0.853 0.584 0.520
Dy 0.981 0.917 0.647
Tm 0.520 0.853 0.584
Tm 0.251 0.683 0.812
Tm 0.584 0.520 0.853
Dy 0.353 0.019 0.083
Tm 0.416 0.480 0.147
Dy 0.083 0.353 0.019
Tm 0.749 0.317 0.188
Tm 0.812 0.251 0.683
Dy 0.917 0.647 0.981
Tm 0.188 0.749 0.317
Tm 0.480 0.147 0.416
Tm 0.317 0.188 0.749
Tm 0.683 0.812 0.251
Sm 0.000 0.000 0.000
Dy 0.647 0.981 0.917
Dy 0.500 0.500 0.500

| no. | calculated total energy (eV/atom) |
| --- | --- |
| 1 | -6.377 |
| 2 | -7.426 |
| 3 | -8.399 |
| 4 | -4.440 |
| 5 | -6.854 |
| 6 | -7.228 |
| 7 | -7.576 |
| 8 | -4.217 |